# 1
# ZrPaNbV

A relaxed ZrPaNbV crystal (PBE, the Alexandria database).

Lattice parameters (Å, degrees): 4.8280 4.8280 4.8280 60.00 60.00 60.00
Last column: nearest neighbours and their distance in Å.
Fractional coordinates of all 4 atoms:
V1 0.2500 0.2500 0.2500  4 Zr 2.96, 4 Pa 2.96
Nb1 0.7500 0.7500 0.7500  4 Zr 2.96, 4 Pa 2.96
Zr1 0.0000 0.0000 0.0000  4 Nb 2.96, 4 V 2.96
Pa1 0.5000 0.5000 0.5000  4 Nb 2.96, 4 V 2.96

Results
Theoretical density (g/cm³): 9.73
ΔH_f (0 K) (eV/atom): 0.1263
Total magnetic moment (μB per formula unit): 0.37


# 2
# RbTa2CuS6

A relaxed RbTa2CuS6 crystal (PBE, the Alexandria database).

Lattice parameters (Å, degrees): 7.3421 9.4585 9.4585 92.26 74.44 74.44
Last column: nearest neighbours and their distance in Å.
Fractional coordinates of all 20 atoms:
S1 0.5474 0.5810 0.7033  2 Ta 2.36-2.38
S2 0.9804 0.4034 0.8217  1 Ta 2.21, 1 Cu 2.29
S3 0.7171 0.7847 0.9663  1 Ta 2.24, 1 Cu 2.33
S4 0.9526 0.2967 0.4190  2 Ta 2.36-2.38
S5 0.4526 0.4190 0.2967  2 Ta 2.36-2.38
S6 0.5196 0.1783 0.5966  1 Ta 2.21, 1 Cu 2.29
Cu1 0.2500 0.2044 0.7956  4 S 2.29-2.33
Ta1 0.1732 0.3813 0.2360  4 S 2.21-2.38
Ta2 0.6732 0.2360 0.3813  4 S 2.21-2.38
Ta3 0.8268 0.6187 0.7640  4 S 2.21-2.38
Rb1 0.7500 0.1351 0.8649  6 S 3.23-3.54
S7 0.2171 0.9663 0.7847  1 Ta 2.24, 1 Cu 2.33
Ta4 0.3268 0.7640 0.6187  4 S 2.21-2.38
Rb2 0.2500 0.8649 0.1351  6 S 3.23-3.54
Cu2 0.7500 0.7956 0.2044  4 S 2.29-2.33
S8 0.4804 0.8217 0.4034  1 Ta 2.21, 1 Cu 2.29
S9 0.0474 0.7033 0.5810  2 Ta 2.36-2.38
S10 0.2829 0.2153 0.0337  1 Ta 2.24, 1 Cu 2.33
S11 0.0196 0.5966 0.1783  1 Ta 2.21, 1 Cu 2.29
S12 0.7829 0.0337 0.2153  1 Ta 2.24, 1 Cu 2.33

Results
Formation energy from raw total energies (eV/atom): -0.79
Theoretical density (g/cm³): 3.86
Total magnetic moment (μB per formula unit): 0.00


# 3
# PrPa2Zn9

A relaxed PrPa2Zn9 crystal (PBE, the Alexandria database).

Lattice parameters (Å, degrees): 5.3793 5.3793 9.3760 73.33 73.33 60.00
Last column: nearest neighbours and their distance in Å.
Fractional coordinates of all 12 atoms:
Zn1 0.5844 0.0772 0.7540  7 Zn 2.63-2.74
Zn2 0.0772 0.5844 0.7540  7 Zn 2.63-2.74
Zn3 0.5844 0.5844 0.7540  7 Zn 2.63-2.74
Zn4 0.5000 0.5000 0.5000  6 Zn 2.74
Pa1 0.1502 0.1502 0.5493  12 Zn 3.09-3.24, 3 Pa 3.23
Zn5 0.9228 0.4156 0.2460  7 Zn 2.63-2.74
Zn6 0.4156 0.4156 0.2460  7 Zn 2.63-2.74
Zn7 0.6642 0.6642 0.0075  6 Zn 2.63-2.71
Pa2 0.8498 0.8498 0.4507  12 Zn 3.09-3.24, 3 Pa 3.23
Zn8 0.3358 0.3358 0.9925  6 Zn 2.63-2.71
Zn9 0.4156 0.9228 0.2460  7 Zn 2.63-2.74
Pr1 0.0000 0.0000 0.0000  18 Zn 3.11-3.46

Results
Theoretical density (g/cm³): 8.93
ΔH_f (0 K) (eV/atom): -0.1678
Total magnetic moment (μB per formula unit): 1.23


# 4
# CsIn4Hg2Pb

A relaxed CsIn4Hg2Pb crystal (PBE, the Alexandria database).

Lattice parameters (Å, degrees): 5.2248 5.2248 9.8111 90.00 90.00 90.00
Last column: nearest neighbours and their distance in Å.
Fractional coordinates of all 8 atoms:
Hg1 0.5000 0.5000 0.6513  1 Hg 2.97, 4 In 3.07
In1 0.5000 0.0000 0.8155  2 Hg 3.07, 2 Pb 3.18
In2 0.5000 0.0000 0.1845  2 Hg 3.07, 2 Pb 3.18
In3 0.0000 0.5000 0.1845  2 Hg 3.07, 2 Pb 3.18
Hg2 0.5000 0.5000 0.3487  1 Hg 2.97, 4 In 3.07
Pb1 0.0000 0.0000 0.0000  8 In 3.18
In4 0.0000 0.5000 0.8155  2 Hg 3.07, 2 Pb 3.18
Cs1 0.0000 0.0000 0.5000  8 Hg 3.98, 8 In 4.05

Results
Theoretical density (g/cm³): 7.44
ΔH_f (0 K) (eV/atom): -0.0640
Total magnetic moment (μB per formula unit): 0.00